Here is an optimized crystal structure of EuHfZn4 from Alexandria. Energies are from PBE.

Its formation energy from the elements is -0.12 eV/atom.

The space group is F-43m (No. 216) and the conventional cell measures 7.616, 7.616 and 7.616 Å, with angles of 90.00, 90.00 and 90.00 degrees. The inequivalent atoms are Eu at (0.000, 0.000, 0.000), Hf at (0.250, 0.250, 0.250) and Zn at (0.124, 0.124, 0.624).

Here is an optimized crystal structure of PtRh2CF from Alexandria. Energies are from PBE.

The value obtained for the formation energy from raw total energies is 0.323 eV/atom.

The space group is P4/mmm (No. 123) and the conventional cell measures 4.080, 4.080 and 4.050 Å, with angles of 90.00, 90.00 and 90.00 degrees. The inequivalent atoms are Pt at (0.000, 0.000, 0.000), Rh at (0.000, 0.500, 0.500), C at (0.000, 0.000, 0.500) and F at (0.500, 0.500, 0.000).

Here is an optimized crystal structure of LiYSbRu from Alexandria. Energies are from PBE.

The value obtained for the formation energy from raw total energies is -0.507 eV/atom.

The space group is F-43m (No. 216) and the conventional cell measures 6.659, 6.659 and 6.659 Å, with angles of 90.00, 90.00 and 90.00 degrees. The inequivalent atoms are Li at (0.000, 0.000, 0.000), Y at (0.250, 0.250, 0.750), Sb at (0.250, 0.250, 0.250) and Ru at (0.000, 0.000, 0.500).

Here is an optimized crystal structure of Rb2TiZnO4 from Alexandria. Energies are from PBE.

The value obtained for the formation energy from raw total energies is -2.028 eV/atom.

The space group is Fddd (No. 70, origin choice 2) and the conventional cell measures 5.111, 12.340 and 20.831 Å, with angles of 90.00, 90.00 and 90.00 degrees. The inequivalent atoms are Rb at (0.125, 0.125, 0.298), Ti at (0.125, 0.125, 0.625), Zn at (0.125, 0.125, 0.125) and O at (0.104, 0.290, 0.828).

Number 1: D(E_F) 0.785 states/eV per atom, M_tot 7.078 μB per formula unit. Number 2: D(E_F) 1.298 states/eV per atom, M_tot 0.007 μB per formula unit. Number 3: D(E_F) 1.140 states/eV per atom, M_tot 0.000 μB per formula unit. Number 4: D(E_F) 0.000 states/eV per atom, M_tot 0.000 μB per formula unit.